## A
DFT (GGA-PBE) results for crystalline SrMgNi3 at its relaxed geometry.

Unit cell a=4.8024 b=4.8024 c=4.8024 alpha=90.00 beta=90.00 gamma=90.00
With the nearest neighbours (Å) after each atom.
Space group Pm-3m (No. 221)
Unique sites:
Sr1 0.0000 0.0000 0.0000  6 Ni 2.40
Mg1 0.5000 0.5000 0.5000  12 Ni 3.40
Ni1 0.0000 0.0000 0.5000  2 Sr 2.40



## B
DFT (GGA-PBE) results for crystalline SrMgNi3 at its relaxed geometry.

Unit cell a=4.6047 b=4.6047 c=4.6047 alpha=90.00 beta=90.00 gamma=90.00
With the nearest neighbours (Å) after each atom.
Space group Pm-3m (No. 221)
Unique sites:
Sr1 0.0000 0.0000 0.0000  12 Ni 3.26
Mg1 0.5000 0.5000 0.5000  6 Ni 2.30
Ni1 0.0000 0.5000 0.5000  2 Mg 2.30



Calculated relative energies: A 887; B 0, given in meV/atom



## A
DFT (GGA-PBE) results for crystalline SrMg2Ni2 at its relaxed geometry.

Unit cell a=7.8759 b=7.8759 c=3.0409 alpha=90.00 beta=90.00 gamma=90.00
With the nearest neighbours (Å) after each atom.
Space group P4/mbm (No. 127)
Unique sites:
Sr1 0.0000 0.0000 0.0000  4 Ni 2.96, 2 Sr 3.04
Mg1 0.1311 0.3689 0.5000  6 Ni 2.76-2.78, 3 Mg 2.92-3.04
Ni1 0.1598 0.6598 0.0000  6 Mg 2.76-2.78, 2 Sr 2.96, 2 Ni 3.04



## B
DFT (GGA-PBE) results for crystalline SrMg2Ni2 at its relaxed geometry.

Unit cell a=4.2763 b=4.2763 c=11.2365 alpha=90.00 beta=90.00 gamma=90.00
With the nearest neighbours (Å) after each atom.
Space group I4/mmm (No. 139)
Unique sites:
Sr1 0.0000 0.0000 0.0000  8 Ni 3.24, 8 Mg 3.53
Mg1 0.0000 0.5000 0.2500  4 Ni 2.69
Ni1 0.0000 0.0000 0.3958  1 Ni 2.34



## C
DFT (GGA-PBE) results for crystalline SrMg2Ni2 at its relaxed geometry.

Unit cell a=7.9231 b=7.9231 c=2.9855 alpha=90.00 beta=90.00 gamma=90.00
With the nearest neighbours (Å) after each atom.
Space group P4/mbm (No. 127)
Unique sites:
Sr1 0.0000 0.0000 0.0000  2 Sr 2.99, 4 Mg 3.13, 8 Ni 3.30
Mg1 0.1247 0.3753 0.0000  6 Ni 2.76-2.78, 3 Mg 2.80-2.99
Ni1 0.1684 0.6684 0.5000  6 Mg 2.76-2.78, 2 Ni 2.99



Calculated relative energies: A 110; B 0; C 143, given in meV/atom